1.
Entry from Alexandria: a relaxed Nd2YPuAs4 crystal (GGA-PBE).

## Properties
energy of formation	-1.39	eV per atom
D(E_F)	13.62	states/eV/f.u.
crystal system	monoclinic
total moment	0.617	μB per atom
VASP energy	-7.504	eV/atom
space-group type	P2/m

Lattice parameters (Å, degrees): 4.209 7.265 7.271 109.45 90.00 90.00
Last column: magnetic moment on the atom in μB.
Positions (direct):
Nd 0.500 0.000 0.500  0.02
Nd 0.000 0.500 0.500  0.01
Y 0.500 0.500 0.000  0.01
Pu 0.000 0.000 0.000  5.01
As 0.500 0.245 0.239  -0.07
As 0.500 0.755 0.761  -0.07
As 0.000 0.252 0.760  -0.04
As 0.000 0.748 0.240  -0.04

2.
Entry from Alexandria: a relaxed Nd2LuAg crystal (GGA-PBE).

## Properties
energy of formation	-0.09	eV per atom
D(E_F)	7.02	states/eV/f.u.
crystal system	tetragonal
total moment	0.000	μB per atom
VASP energy	-4.316	eV/atom
space-group type	P4/mmm

Lattice parameters (Å, degrees): 3.717 3.717 8.588 90.00 90.00 90.00
Positions (direct):
Lu 0.500 0.500 0.500
Nd 0.000 0.000 0.777
Nd 0.000 0.000 0.223
Ag 0.500 0.500 0.000

3.
Entry from Alexandria: a relaxed LiPuAgI6 crystal (GGA-PBE).

## Properties
D(E_F)	13.25	states/eV/f.u.
crystal system	trigonal
formation energy from raw total energies	-0.760	eV/atom
total moment	0.444	μB per atom
VASP energy	-3.915	eV/atom
space-group type	P-31c

Lattice parameters (Å, degrees): 7.467 7.467 13.873 90.00 90.00 120.00
Last column: magnetic moment on the atom in μB.
Positions (direct):
Li 0.333 0.667 0.250  0.00
Li 0.667 0.333 0.750  0.00
Pu 0.667 0.333 0.250  -4.79
Pu 0.333 0.667 0.750  -4.79
Ag 0.000 0.000 0.000  0.04
Ag 0.000 0.000 0.500  0.04
I 0.660 0.660 0.125  0.10
I 0.000 0.340 0.125  0.10
I 0.340 0.000 0.625  0.10
I 0.000 0.660 0.875  0.10
I 0.340 0.340 0.375  0.10
I 0.000 0.660 0.375  0.10
I 0.660 0.000 0.875  0.10
I 0.660 0.000 0.375  0.10
I 0.000 0.340 0.625  0.10
I 0.340 0.000 0.125  0.10
I 0.660 0.660 0.625  0.10
I 0.340 0.340 0.875  0.10

4.
Entry from Alexandria: a relaxed ScCrNiH2 crystal (GGA-PBE).

## Properties
D(E_F)	3.83	states/eV/f.u.
crystal system	tetragonal
total moment	0.814	μB per atom
VASP energy	-5.107	eV/atom
space-group type	P4/mmm

Lattice parameters (Å, degrees): 3.566 5.730 3.566 90.00 90.00 90.00
Last column: magnetic moment on the atom in μB.
Positions (direct):
Sc 0.000 0.000 0.000  0.06
Ni 0.500 0.500 0.500  0.23
H 0.000 0.000 0.500  0.00
H 0.500 0.000 0.000  0.02
Cr 0.000 0.500 0.000  3.37